# 1
BeNi6Ru: relaxed, PBE.

Cell: 6.112 6.112 10.025 Å, 90.00 90.00 110.04°
Positions (direct):
Be1 0.000 0.000 0.241
Be2 0.000 0.000 0.759
Be3 0.256 0.744 0.000
Be4 0.744 0.256 0.000
Ni1 0.000 0.000 0.000
Ni2 0.000 0.000 0.500
Ni3 0.118 0.370 0.121
Ni4 0.118 0.370 0.879
Ni5 0.120 0.365 0.369
Ni6 0.120 0.365 0.631
Ni7 0.248 0.752 0.243
Ni8 0.248 0.752 0.757
Ni9 0.365 0.120 0.369
Ni10 0.365 0.120 0.631
Ni11 0.370 0.118 0.121
Ni12 0.370 0.118 0.879
Ni13 0.500 0.500 0.000
Ni14 0.500 0.500 0.500
Ni15 0.630 0.882 0.121
Ni16 0.630 0.882 0.879
Ni17 0.635 0.880 0.369
Ni18 0.635 0.880 0.631
Ni19 0.752 0.248 0.243
Ni20 0.752 0.248 0.757
Ni21 0.880 0.635 0.369
Ni22 0.880 0.635 0.631
Ni23 0.882 0.630 0.121
Ni24 0.882 0.630 0.879
Ru1 0.254 0.746 0.500
Ru2 0.500 0.500 0.245
Ru3 0.500 0.500 0.755
Ru4 0.746 0.254 0.500

Calculated values
Energy relative to the elements, meV/atom: -22
Space-group type: Cmmm, No. 65
Volume, Å³/cell: 351.8


# 2
LiTiNiIr: relaxed, PBE.

Cell: 5.943 5.943 5.943 Å, 90.00 90.00 90.00°
Positions (direct):
Li1 0.000 0.000 0.000
Li2 0.000 0.500 0.500
Li3 0.500 0.000 0.500
Li4 0.500 0.500 0.000
Ti1 0.000 0.000 0.500
Ti2 0.000 0.500 0.000
Ti3 0.500 0.000 0.000
Ti4 0.500 0.500 0.500
Ni1 0.250 0.250 0.750
Ni2 0.250 0.750 0.250
Ni3 0.750 0.250 0.250
Ni4 0.750 0.750 0.750
Ir1 0.250 0.250 0.250
Ir2 0.250 0.750 0.750
Ir3 0.750 0.250 0.750
Ir4 0.750 0.750 0.250

Calculated values
Energy relative to the elements, meV/atom: -480
Space-group type: F-43m, No. 216
Volume, Å³/cell: 209.9